This record from Alexandria via LeMat-Bulk describes crystalline SbAu3S at its relaxed geometry. The functional is PBE.

```
SbAu3S
1.0
-0.433 -2.941 -3.837
4.834 -0.292 -0.321
-0.036 -3.850 2.955
S Au Sb
1 3 1
Cartesian
0.000 0.000 0.000
-0.216 -1.471 -1.918
-0.018 -1.925 1.478
2.417 -0.146 -0.161
2.183 -3.541 -0.601
```

Summary:
- D(E_F) (states/eV/f.u.) = 3.00
- uncorrected energy (hartree per atom) = -0.1142
- calculated density (g/cm3) = 10.8
- E above lowest polymorph (meV/atom) = 0
- formation energy (no corrections) (kJ/mol of formula units) = 246

=====

This record from Alexandria via LeMat-Bulk describes crystalline SbAuS at its relaxed geometry. The functional is PBE.

```
SbAuS
1.0
-3.361 -2.083 -0.954
3.484 -2.988 -5.754
3.748 -5.728 -0.698
Au Sb S
2 2 2
Cartesian
-1.123 -4.019 -3.740
3.607 -7.133 -4.935
-2.612 -2.502 -1.805
1.612 -5.662 -1.116
1.288 -4.223 -3.117
1.195 -6.928 -5.557
```

Summary:
- D(E_F) (states/eV/f.u.) = 0.69
- uncorrected energy (hartree per atom) = -0.1398
- calculated density (g/cm3) = 7.7
- formation energy (no corrections) (kJ/mol of formula units) = 11

=====

This record from Alexandria via LeMat-Bulk describes crystalline Sb3AuS at its relaxed geometry. The functional is PBE.

```
Sb3AuS
1.0
5.176 0.000 0.000
0.000 5.176 0.000
0.000 0.000 5.176
S Sb Au
1 3 1
Cartesian
0.000 0.000 0.000
0.000 2.588 0.000
0.000 0.000 2.588
2.588 0.000 0.000
2.588 2.588 2.588
```

Summary:
- D(E_F) (states/eV/f.u.) = 5.09
- uncorrected energy (hartree per atom) = -0.1206
- calculated density (g/cm3) = 7.1
- E above lowest polymorph (meV/atom) = 703
- formation energy (no corrections) (kJ/mol of formula units) = 325

=====

This record from Alexandria via LeMat-Bulk describes crystalline SbAu3S at its relaxed geometry. The functional is PBE.

```
SbAu3S
1.0
-4.759 1.496 1.553
-1.093 -4.917 1.387
1.859 0.939 4.792
Sb Au S
1 3 1
Cartesian
0.000 0.000 0.000
0.929 0.469 2.396
-2.379 0.748 0.777
-0.546 -2.459 0.693
-1.996 -1.241 3.866
```

Summary:
- D(E_F) (states/eV/f.u.) = 4.53
- uncorrected energy (hartree per atom) = -0.1038
- calculated density (g/cm3) = 8.7
- E above lowest polymorph (meV/atom) = 282
- formation energy (no corrections) (kJ/mol of formula units) = 382

=====

This record from Alexandria via LeMat-Bulk describes crystalline Sb2Au2S at its relaxed geometry. The functional is PBE.

```
Sb2Au2S
1.0
7.537 0.000 0.000
0.000 7.537 0.000
0.000 0.000 3.914
Au S Sb
4 2 4
Cartesian
2.749 6.518 0.000
1.020 2.749 0.000
4.789 1.020 0.000
6.518 4.789 0.000
3.769 3.769 0.000
0.000 0.000 0.000
2.514 1.254 1.957
1.254 5.023 1.957
6.283 2.514 1.957
5.023 6.283 1.957
```

Summary:
- D(E_F) (states/eV/f.u.) = 3.02
- uncorrected energy (hartree per atom) = -0.1299
- calculated density (g/cm3) = 10.0
- E above lowest polymorph (meV/atom) = 152
- formation energy (no corrections) (kJ/mol of formula units) = 121

=====

This record from Alexandria via LeMat-Bulk describes crystalline SbAuS4 at its relaxed geometry. The functional is PBE.

```
SbAuS4
1.0
3.553 0.000 0.000
0.000 6.825 1.097
0.000 1.054 7.013
S Sb Au
4 1 1
Cartesian
1.776 5.241 1.874
1.776 2.639 6.236
0.000 1.446 2.203
0.000 6.434 5.907
0.000 0.000 0.000
1.776 0.527 3.506
```

Summary:
- uncorrected energy (hartree per atom) = -0.1463
- calculated density (g/cm3) = 4.5
- formation energy (no corrections) (kJ/mol of formula units) = 3

=====

This record from Alexandria via LeMat-Bulk describes crystalline Sb2AuS at its relaxed geometry. The functional is PBE.

```
Sb2AuS
1.0
-2.760 1.436 -2.054
-0.239 -0.813 -3.630
-5.551 -6.093 -0.185
Au S Sb
1 1 2
Cartesian
-7.506 -5.617 -3.991
-4.432 -2.952 -2.876
-2.033 -1.222 -1.507
-4.405 -4.507 -0.615
```

Summary:
- D(E_F) (states/eV/f.u.) = 2.35
- uncorrected energy (hartree per atom) = -0.1420
- calculated density (g/cm3) = 8.2
- formation energy (no corrections) (kJ/mol of formula units) = 19

=====

This record from Alexandria via LeMat-Bulk describes crystalline SbAuS3 at its relaxed geometry. The functional is PBE.

```
SbAuS3
1.0
4.806 0.000 0.000
0.000 4.806 0.000
0.000 0.000 4.806
S Sb Au
3 1 1
Cartesian
0.000 2.403 0.000
0.000 0.000 2.403
2.403 0.000 0.000
2.403 2.403 2.403
0.000 0.000 0.000
```

Summary:
- D(E_F) (states/eV/f.u.) = 2.87
- uncorrected energy (hartree per atom) = -0.1247
- calculated density (g/cm3) = 6.2
- E above lowest polymorph (meV/atom) = 635
- formation energy (no corrections) (kJ/mol of formula units) = 272

=====

Which value of formation energy (no corrections) does entry 5 give?
121 kJ/mol of formula units